# NiBiS (GGA-PBE, optimized geometry)
# - formation energy without anion corrections (eV/atom) = -0.21
# - DOS at the Fermi energy (states/eV/atom) = 0.284
data_NiBiS
_chemical_formula_sum 'Ni1 Bi1 S1'
_space_group_name_H-M_alt 'P 3 m 1'
_space_group_IT_number 156
_space_group_name_Hall 'P 3 -2"'
_cell_length_a 3.6856
_cell_length_b 3.6856
_cell_length_c 4.9955
_cell_angle_alpha 90.00
_cell_angle_beta 90.00
_cell_angle_gamma 120.00
loop_
_atom_site_label
_atom_site_type_symbol
_atom_site_fract_x
_atom_site_fract_y
_atom_site_fract_z
_atom_site_occupancy
Ni1 Ni 0.0000 0.0000 0.0000 1
Bi1 Bi 0.6667 0.3333 0.6663 1
S1 S 0.3333 0.6667 0.1597 1